No. 1
Below is crystalline LiTiO2 at its relaxed geometry, with properties calculated at the PBE-GGA level.

The structure in POSCAR format:
```
LiTiO2
1.0
-1.816 -1.569 1.572
0.520 -0.431 2.788
-3.131 3.625 2.621
Li Ti O
1 1 2
direct
0.670 0.670 0.989 Li
0.499 0.499 0.503 Ti
0.086 0.086 0.743 O
0.245 0.245 0.265 O
```

Summary:
E_form (uncorrected), eV per atom: -2.571

=====

No. 2
Below is crystalline BaTbY2 at its relaxed geometry, with properties calculated at the PBE-GGA level.

The structure in POSCAR format:
```
BaTbY2
1.0
3.711 0.000 0.000
0.000 3.711 0.000
0.000 0.000 10.818
Y Tb Ba
2 1 1
direct
0.000 0.000 0.784 Y
0.000 0.000 0.216 Y
0.500 0.500 0.000 Tb
0.500 0.500 0.500 Ba
```

Summary:
E above lowest polymorph, eV/atom: 0.000
E_form, eV per atom: 0.151

=====

No. 3
Below is crystalline Hf2PdPbN at its relaxed geometry, with properties calculated at the PBE-GGA level.

The structure in POSCAR format:
```
Hf2PdPbN
1.0
-2.840 0.423 4.531
0.994 -4.650 1.057
4.417 1.541 2.625
Pb Hf Pd N
1 2 1 1
direct
0.000 0.000 0.000 Pb
0.000 0.000 0.500 Hf
0.500 0.000 0.000 Hf
0.000 0.500 0.000 Pd
0.500 0.500 0.500 N
```

Summary:
E_form (uncorrected), eV per atom: 2.211

=====

| no. | DOS at the Fermi energy (states/eV per atom) | total magnetic moment (μB/f.u.) |
| --- | --- | --- |
| 1 | 0.237 | 0.920 |
| 2 | 1.483 | 0.000 |
| 3 | 1.130 | 0.001 |